VASP calculation (GGA+U) on Na4CoMo3O12 after structural relaxation.

Properties
Fermi-level density of states	0.00	states/eV per cell
raw total energy	-250.78	eV for the cell shown
theoretical density	3.53	g/cm3
space group	No. 5

a = 9.422 Å, b = 9.422 Å, c = 7.255 Å
α = 104.87°, β = 104.87°, γ = 95.11°
Atoms (fractional coordinates):
Na1 0.000 0.000 0.000
Na2 0.039 0.378 0.374
Na3 0.256 0.744 0.000
Na4 0.469 0.514 0.752
Na5 0.486 0.531 0.248
Na6 0.622 0.961 0.626
Na7 0.712 0.288 0.500
Na8 0.961 0.039 0.500
Co1 0.365 0.065 0.881
Co2 0.935 0.635 0.119
Mo1 0.110 0.349 0.882
Mo2 0.264 0.736 0.500
Mo3 0.321 0.133 0.375
Mo4 0.651 0.890 0.118
Mo5 0.691 0.309 0.000
Mo6 0.867 0.679 0.625
O1 0.020 0.424 0.069
O2 0.127 0.147 0.331
O3 0.142 0.757 0.268
O4 0.160 0.167 0.889
O5 0.243 0.858 0.732
O6 0.245 0.554 0.523
O7 0.274 0.478 0.925
O8 0.344 0.016 0.146
O9 0.375 0.055 0.580
O10 0.435 0.311 0.444
O11 0.446 0.755 0.477
O12 0.495 0.273 0.985
O13 0.522 0.726 0.075
O14 0.576 0.980 0.931
O15 0.682 0.015 0.361
O16 0.689 0.565 0.556
O17 0.727 0.505 0.015
O18 0.730 0.204 0.782
O19 0.796 0.270 0.218
O20 0.833 0.840 0.111
O21 0.853 0.873 0.669
O22 0.945 0.625 0.420
O23 0.984 0.656 0.854
O24 0.985 0.318 0.639